A plane-wave DFT calculation with PBE+U was carried out for an optimized crystal structure of VOF.

Lattice parameters (Å, degrees): 6.236 4.698 9.975 90.00 107.99 90.00
Sites, in units of the cell vectors:
V (0.050, 0.000, 0.359)
V (0.193, 0.475, 0.125)
V (0.316, 0.976, 0.874)
V (0.424, 0.437, 0.609)
V (0.576, 0.937, 0.391)
V (0.684, 0.476, 0.126)
V (0.807, 0.975, 0.875)
V (0.950, 0.500, 0.641)
O (0.013, 0.788, 0.787)
O (0.234, 0.282, 0.719)
O (0.356, 0.153, 0.463)
O (0.387, 0.663, 0.031)
O (0.613, 0.163, 0.969)
O (0.644, 0.653, 0.537)
O (0.766, 0.782, 0.281)
O (0.987, 0.288, 0.213)
F (0.108, 0.180, 0.974)
F (0.135, 0.682, 0.521)
F (0.265, 0.765, 0.276)
F (0.487, 0.261, 0.228)
F (0.513, 0.761, 0.772)
F (0.735, 0.265, 0.724)
F (0.865, 0.182, 0.479)
F (0.892, 0.680, 0.026)

Computed properties:
Total energy in eV/atom: -7.160
Space-group type: P2_1, No. 4